(1)
! ZnFeHPt2 | Alexandria via LeMat-Bulk | PBE-GGA | optimized geometry; values from VASP
! Raw total energy, eV/atom: -5.1701
&SYSTEM
  ibrav = 0, nat = 5, ntyp = 4
/
ATOMIC_SPECIES
Zn 65.41 Zn.upf
Fe 55.84 Fe.upf
H 1.01 H.upf
Pt 195.08 Pt.upf
ATOMIC_POSITIONS crystal
Zn 0.000 0.000 0.000
Fe 0.500 0.500 0.000
H 0.500 0.500 0.500
Pt 0.000 0.500 0.500
Pt 0.500 0.000 0.500
CELL_PARAMETERS angstrom
3.972 0.000 0.000
0.000 3.972 0.000
0.000 0.000 3.844

=====

(2)
! ZnFe2HPt | Alexandria via LeMat-Bulk | PBE-GGA | optimized geometry; values from VASP
! Raw total energy, eV/atom: -5.6200
&SYSTEM
  ibrav = 0, nat = 5, ntyp = 4
/
ATOMIC_SPECIES
Zn 65.41 Zn.upf
Fe 55.84 Fe.upf
H 1.01 H.upf
Pt 195.08 Pt.upf
ATOMIC_POSITIONS crystal
Zn 0.000 0.000 0.000
Fe 0.000 0.500 0.500
Fe 0.500 0.000 0.500
H 0.500 0.500 0.500
Pt 0.500 0.500 0.000
CELL_PARAMETERS angstrom
3.721 0.000 0.000
0.000 3.721 0.000
0.000 0.000 4.011

=====

(3)
! Zn2FeHPt | Alexandria via LeMat-Bulk | PBE-GGA | optimized geometry; values from VASP
! Raw total energy, eV/atom: -4.1770
&SYSTEM
  ibrav = 0, nat = 5, ntyp = 4
/
ATOMIC_SPECIES
Zn 65.41 Zn.upf
Fe 55.84 Fe.upf
H 1.01 H.upf
Pt 195.08 Pt.upf
ATOMIC_POSITIONS crystal
Zn 0.000 0.500 0.000
Zn 0.500 0.000 0.000
Fe 0.000 0.000 0.500
H 0.000 0.000 0.000
Pt 0.500 0.500 0.500
CELL_PARAMETERS angstrom
4.079 0.000 0.000
0.000 4.079 0.000
0.000 0.000 3.423

=====

(4)
! ZnFe2HPt | Alexandria via LeMat-Bulk | PBE-GGA | optimized geometry; values from VASP
! Raw total energy, eV/atom: -5.6077
&SYSTEM
  ibrav = 0, nat = 5, ntyp = 4
/
ATOMIC_SPECIES
Zn 65.41 Zn.upf
Fe 55.84 Fe.upf
H 1.01 H.upf
Pt 195.08 Pt.upf
ATOMIC_POSITIONS crystal
Zn 0.000 0.000 0.000
Fe 0.000 0.500 0.500
Fe 0.500 0.000 0.500
H 0.000 0.000 0.500
Pt 0.500 0.500 0.000
CELL_PARAMETERS angstrom
3.658 0.000 0.000
0.000 3.658 0.000
0.000 0.000 4.137

=====

(5)
! ZrFe2HPt | Alexandria via LeMat-Bulk | PBE-GGA | optimized geometry; values from VASP
! Raw total energy, eV/atom: -7.2786
&SYSTEM
  ibrav = 0, nat = 5, ntyp = 4
/
ATOMIC_SPECIES
Zr 91.22 Zr.upf
Fe 55.84 Fe.upf
H 1.01 H.upf
Pt 195.08 Pt.upf
ATOMIC_POSITIONS crystal
Zr 0.000 0.000 0.000
Fe 0.000 0.500 0.500
Fe 0.500 0.000 0.500
H 0.000 0.000 0.500
Pt 0.500 0.500 0.000
CELL_PARAMETERS angstrom
3.855 0.000 0.000
0.000 3.855 0.000
0.000 0.000 4.113

=====

(6)
! PuFe2H8 | Alexandria via LeMat-Bulk | PBE-GGA | optimized geometry; values from VASP
! Raw total energy, eV/atom: -5.3615
&SYSTEM
  ibrav = 0, nat = 11, ntyp = 3
/
ATOMIC_SPECIES
Pu 244.00 Pu.upf
Fe 55.84 Fe.upf
H 1.01 H.upf
ATOMIC_POSITIONS crystal
Pu 0.000 0.000 0.000
Fe 0.326 0.674 0.500
Fe 0.674 0.326 0.500
H 0.029 0.320 0.509
H 0.305 0.695 0.000
H 0.320 0.029 0.509
H 0.468 0.468 0.259
H 0.532 0.532 0.741
H 0.680 0.971 0.491
H 0.695 0.305 0.000
H 0.971 0.680 0.491
CELL_PARAMETERS angstrom
2.455 -3.996 0.000
2.455 3.996 0.000
-0.082 0.000 3.608

=====

(7)
! PuFeH | Alexandria via LeMat-Bulk | PBE-GGA | optimized geometry; values from VASP
! Raw total energy, eV/atom: -8.5816
&SYSTEM
  ibrav = 0, nat = 6, ntyp = 3
/
ATOMIC_SPECIES
Pu 244.00 Pu.upf
Fe 55.84 Fe.upf
H 1.01 H.upf
ATOMIC_POSITIONS crystal
Pu 0.143 0.143 0.397
Pu 0.857 0.857 0.603
Fe 0.308 0.308 0.924
Fe 0.692 0.692 0.076
H 0.464 0.464 0.222
H 0.536 0.536 0.778
CELL_PARAMETERS angstrom
3.093 -1.944 0.000
3.093 1.944 0.000
-1.603 0.000 5.535

=====

(8)
! PuFe3H6 | Alexandria via LeMat-Bulk | PBE-GGA | optimized geometry; values from VASP
! Raw total energy, eV/atom: -6.0379
&SYSTEM
  ibrav = 0, nat = 10, ntyp = 3
/
ATOMIC_SPECIES
Pu 244.00 Pu.upf
Fe 55.84 Fe.upf
H 1.01 H.upf
ATOMIC_POSITIONS crystal
Pu 0.000 0.000 0.000
Fe 0.200 0.200 0.200
Fe 0.527 0.527 0.527
Fe 0.821 0.821 0.821
H 0.155 0.426 0.789
H 0.426 0.789 0.155
H 0.438 0.942 0.448
H 0.448 0.438 0.942
H 0.789 0.155 0.426
H 0.942 0.448 0.438
CELL_PARAMETERS angstrom
2.182 1.260 5.006
-2.182 1.260 5.006
0.000 -2.519 5.006

=====

(9)
! PuFe2H6 | Alexandria via LeMat-Bulk | PBE-GGA | optimized geometry; values from VASP
! Raw total energy, eV/atom: -5.7235
&SYSTEM
  ibrav = 0, nat = 9, ntyp = 3
/
ATOMIC_SPECIES
Pu 244.00 Pu.upf
Fe 55.84 Fe.upf
H 1.01 H.upf
ATOMIC_POSITIONS crystal
Pu 0.000 0.000 0.000
Fe 0.189 0.811 0.500
Fe 0.811 0.189 0.500
H 0.095 0.531 0.750
H 0.213 0.213 0.470
H 0.469 0.905 0.250
H 0.531 0.095 0.750
H 0.787 0.787 0.530
H 0.905 0.469 0.250
CELL_PARAMETERS angstrom
2.278 -3.588 0.000
2.278 3.588 0.000
-0.964 0.000 4.803

=====

(10)
! PuFeH | Alexandria via LeMat-Bulk | PBE-GGA | optimized geometry; values from VASP
! Raw total energy, eV/atom: -8.5763
&SYSTEM
  ibrav = 0, nat = 3, ntyp = 3
/
ATOMIC_SPECIES
Pu 244.00 Pu.upf
Fe 55.84 Fe.upf
H 1.01 H.upf
ATOMIC_POSITIONS crystal
Pu 0.000 0.000 0.000
Fe 0.667 0.333 0.500
H 0.333 0.667 0.500
CELL_PARAMETERS angstrom
3.651 0.000 0.000
-1.825 3.162 0.000
0.000 0.000 3.451

=====

(11)
! PuFe2H | Alexandria via LeMat-Bulk | PBE-GGA | optimized geometry; values from VASP
! Raw total energy, eV/atom: -8.2596
&SYSTEM
  ibrav = 0, nat = 4, ntyp = 3
/
ATOMIC_SPECIES
Pu 244.00 Pu.upf
Fe 55.84 Fe.upf
H 1.01 H.upf
ATOMIC_POSITIONS crystal
Pu 0.000 0.000 0.000
Fe 0.119 0.119 0.119
Fe 0.881 0.881 0.881
H 0.500 0.500 0.500
CELL_PARAMETERS angstrom
1.313 0.758 7.822
-1.313 0.758 7.822
0.000 -1.516 7.822

=====

(12)
! PuFeH2 | Alexandria via LeMat-Bulk | PBE-GGA | optimized geometry; values from VASP
! Raw total energy, eV/atom: -7.3270
&SYSTEM
  ibrav = 0, nat = 4, ntyp = 3
/
ATOMIC_SPECIES
Pu 244.00 Pu.upf
Fe 55.84 Fe.upf
H 1.01 H.upf
ATOMIC_POSITIONS crystal
Pu 0.000 0.000 0.000
Fe 0.500 0.500 0.500
H 0.220 0.220 0.220
H 0.780 0.780 0.780
CELL_PARAMETERS angstrom
1.362 0.786 5.577
-1.362 0.786 5.577
0.000 -1.572 5.577